[1]
DFT (PBE-GGA) results for an optimized crystal structure of Tb2PmTlO.

Its crystal system is tetragonal. The value obtained for the mass density is 9.889 g cm⁻³. The density of states at the Fermi level is 1.6 states/eV/f.u. As for the uncorrected formation energy: -1.362 eV/atom.

Cell: 4.811 4.811 4.958 Å, 90.00 90.00 90.00°
Space group P4/mmm (No. 123)
Asymmetric unit:
Tb (0.000, 0.500, 0.000) x2
Pm (0.000, 0.000, 0.500) x1
Tl (0.500, 0.500, 0.500) x1
O (0.000, 0.000, 0.000) x1

---

[2]
DFT (PBE-GGA) results for an optimized crystal structure of FeAg2Pt2.

Its crystal system is tetragonal. Its formation energy is 0.57 eV per atom. The value obtained for the mass density is 11.866 g cm⁻³. The density of states at the Fermi level is 8.1 states/eV/f.u.

Cell: 3.654 3.654 13.869 Å, 90.00 90.00 90.00°
Space group I4/mmm (No. 139)
Asymmetric unit:
Fe (0.000, 0.000, 0.000) x2
Ag (0.000, 0.000, 0.404) x4
Pt (0.000, 0.500, 0.250) x4

---

[3]
DFT (PBE-GGA) results for an optimized crystal structure of CsNaPS2.

Its crystal system is tetragonal. The value obtained for the mass density is 1.974 g cm⁻³. The density of states at the Fermi level is 3.8 states/eV/f.u. As for the uncorrected formation energy: 0.931 eV/atom.

Cell: 5.972 5.972 5.922 Å, 90.00 90.00 90.00°
Space group P4/mmm (No. 123)
Asymmetric unit:
Cs (0.000, 0.000, 0.000) x1
Na (0.500, 0.500, 0.500) x1
P (0.000, 0.000, 0.500) x1
S (0.000, 0.500, 0.000) x2

---

[4]
DFT (PBE-GGA) results for an optimized crystal structure of MnSiSbTe2.

Its crystal system is tetragonal. The value obtained for the mass density is 6.117 g cm⁻³. The density of states at the Fermi level is 5.0 states/eV/f.u. As for the uncorrected formation energy: 0.676 eV/atom.

Cell: 5.030 5.030 4.936 Å, 90.00 90.00 90.00°
Space group P4/mmm (No. 123)
Asymmetric unit:
Mn (0.000, 0.000, 0.000) x1
Si (0.500, 0.500, 0.500) x1
Sb (0.000, 0.000, 0.500) x1
Te (0.000, 0.500, 0.000) x2

---

[5]
DFT (PBE-GGA) results for an optimized crystal structure of LaHo2ErHg4.

Its crystal system is trigonal. Its formation energy is -0.47 eV per atom. The value obtained for the mass density is 11.237 g cm⁻³. The density of states at the Fermi level is 8.0 states/eV/f.u.

Cell: 5.2882 5.2882 26.3307 Å, 90.00 90.00 120.00°
Space group R-3m (No. 166, hexagonal axes)
Asymmetric unit:
La (0.0000, 0.0000, 0.0000) x3
Ho (0.0000, 0.0000, 0.2483) x6
Er (0.0000, 0.0000, 0.5000) x3
Hg (0.0000, 0.0000, 0.1279) x6
Hg (0.0000, 0.0000, 0.3802) x6

---

[6]
DFT (PBE-GGA) results for an optimized crystal structure of K4Pm3TiSe8.

Its crystal system is trigonal. The value obtained for the mass density is 4.462 g cm⁻³. The density of states at the Fermi level is 6.2 states/eV/f.u. As for the uncorrected formation energy: -1.575 eV/atom.

Cell: 8.4270 8.4270 23.0722 Å, 90.00 90.00 120.00°
Space group R-3m (No. 166, hexagonal axes)
Asymmetric unit:
K (0.0000, 0.0000, 0.0000) x3
K (0.0000, 0.5000, 0.0000) x9
Pm (0.0000, 0.5000, 0.5000) x9
Ti (0.0000, 0.0000, 0.5000) x3
Se (0.0000, 0.0000, 0.2379) x6
Se (0.0230, 0.5115, 0.2338) x18

---

[7]
DFT (PBE-GGA) results for an optimized crystal structure of TbHo3Al4.

Its crystal system is orthorhombic. Its formation energy is -0.40 eV per atom. The value obtained for the mass density is 6.827 g cm⁻³. The density of states at the Fermi level is 3.1 states/eV/f.u.

Cell: 10.146 7.198 5.073 Å, 90.00 90.00 90.00°
Space group Pmma (No. 51)
Asymmetric unit:
Tb (0.000, 0.000, 0.000) x2
Ho (0.000, 0.500, 0.000) x2
Ho (0.250, 0.000, 0.499) x2
Ho (0.250, 0.500, 0.499) x2
Al (0.000, 0.252, 0.500) x4
Al (0.250, 0.252, 0.998) x4

---

[8]
DFT (PBE-GGA) results for an optimized crystal structure of PmHoSc6.

Its crystal system is tetragonal. Its formation energy is 0.06 eV per atom. The value obtained for the mass density is 4.565 g cm⁻³. The density of states at the Fermi level is 15.5 states/eV/f.u.

Cell: 6.690 6.690 4.712 Å, 90.00 90.00 90.00°
Space group P4/mmm (No. 123)
Asymmetric unit:
Pm (0.000, 0.000, 0.000) x1
Ho (0.500, 0.500, 0.000) x1
Sc (0.000, 0.500, 0.000) x2
Sc (0.251, 0.251, 0.500) x4

---

[9]
DFT (PBE-GGA) results for an optimized crystal structure of KHg4Au.

Its crystal system is orthorhombic. Its formation energy is -0.16 eV per atom. The value obtained for the mass density is 10.258 g cm⁻³. The density of states at the Fermi level is 1.5 states/eV/f.u.

Cell: 8.991 4.433 8.435 Å, 90.00 90.00 90.00°
Space group Pmma (No. 51)
Asymmetric unit:
K (0.250, 0.000, 0.104) x2
Hg (0.000, 0.000, 0.500) x2
Hg (0.058, 0.500, 0.821) x4
Hg (0.250, 0.500, 0.419) x2
Au (0.250, 0.000, 0.708) x2

---

[10]
DFT (PBE-GGA) results for an optimized crystal structure of Ce2PuPbC.

Its crystal system is tetragonal. Its formation energy is -0.33 eV per atom. The value obtained for the mass density is 10.092 g cm⁻³. The density of states at the Fermi level is 7.7 states/eV/f.u.

Cell: 5.033 5.033 4.830 Å, 90.00 90.00 90.00°
Space group P4/mmm (No. 123)
Asymmetric unit:
Ce (0.000, 0.500, 0.000) x2
Pu (0.000, 0.000, 0.500) x1
Pb (0.500, 0.500, 0.500) x1
C (0.000, 0.000, 0.000) x1

---

[11]
DFT (PBE-GGA) results for an optimized crystal structure of TiInBr2.

Its crystal system is tetragonal. The value obtained for the mass density is 4.400 g cm⁻³. The density of states at the Fermi level is 3.5 states/eV/f.u. As for the uncorrected formation energy: -0.431 eV/atom.

Cell: 9.003 9.003 6.006 Å, 90.00 90.00 90.00°
Space group I-42d (No. 122)
Asymmetric unit:
Ti (0.000, 0.000, 0.000) x4
In (0.000, 0.000, 0.500) x4
Br (0.119, 0.250, 0.125) x8

---

[12]
DFT (PBE-GGA) results for an optimized crystal structure of Y2AlZn2Ni5.

Its crystal system is tetragonal. Its formation energy is -0.32 eV per atom. The value obtained for the mass density is 6.835 g cm⁻³. The density of states at the Fermi level is 6.4 states/eV/f.u.

Cell: 9.359 9.359 3.489 Å, 90.00 90.00 90.00°
Space group P4/mbm (No. 127)
Asymmetric unit:
Y (0.177, 0.323, 0.000) x4
Al (0.000, 0.000, 0.000) x2
Zn (0.121, 0.621, 0.000) x4
Ni (0.000, 0.500, 0.500) x2
Ni (0.057, 0.801, 0.500) x8

---

[13]
DFT (PBE-GGA) results for an optimized crystal structure of AgAsSeBr2.

Its crystal system is tetragonal. The value obtained for the mass density is 4.572 g cm⁻³. The density of states at the Fermi level is 3.3 states/eV/f.u. As for the uncorrected formation energy: 0.546 eV/atom.

Cell: 5.462 5.462 5.133 Å, 90.00 90.00 90.00°
Space group P4/mmm (No. 123)
Asymmetric unit:
Ag (0.000, 0.000, 0.000) x1
As (0.500, 0.500, 0.000) x1
Se (0.500, 0.500, 0.500) x1
Br (0.000, 0.500, 0.500) x2

---

[14]
DFT (PBE-GGA) results for an optimized crystal structure of LaEu3.

Its crystal system is orthorhombic. Its formation energy is 0.07 eV per atom. The value obtained for the mass density is 6.136 g cm⁻³. The density of states at the Fermi level is 8.4 states/eV/f.u.

Cell: 3.818 6.235 6.762 Å, 90.00 90.00 90.00°
Space group Pmm2 (No. 25)
Asymmetric unit:
La (0.000, 0.000, 0.000) x1
Eu (0.000, 0.500, 0.330) x1
Eu (0.500, 0.000, 0.497) x1
Eu (0.500, 0.500, 0.837) x1

---

[15]
DFT (PBE-GGA) results for an optimized crystal structure of CuIrN2F.

Its crystal system is tetragonal. The value obtained for the mass density is 7.550 g cm⁻³. The density of states at the Fermi level is 3.1 states/eV/f.u. As for the uncorrected formation energy: 0.693 eV/atom.

Cell: 3.751 3.751 4.732 Å, 90.00 90.00 90.00°
Space group P4/mmm (No. 123)
Asymmetric unit:
Cu (0.000, 0.000, 0.000) x1
Ir (0.500, 0.500, 0.500) x1
N (0.000, 0.500, 0.500) x2
F (0.500, 0.500, 0.000) x1

---

[16]
DFT (PBE-GGA) results for an optimized crystal structure of IrW.

Its crystal system is tetragonal. Its formation energy is 0.13 eV per atom. The value obtained for the mass density is 18.951 g cm⁻³. The density of states at the Fermi level is 1.3 states/eV/f.u.

Cell: 7.592 7.592 4.573 Å, 90.00 90.00 90.00°
Space group P4/mnc (No. 128)
Asymmetric unit:
Ir (0.082, 0.253, 0.000) x8
W (0.076, 0.748, 0.500) x8

---

[17]
DFT (PBE-GGA) results for an optimized crystal structure of TaSbO4.

Its crystal system is orthorhombic. The value obtained for the mass density is 5.710 g cm⁻³. The density of states at the Fermi level is 1.2 states/eV/f.u. As for the uncorrected formation energy: -1.361 eV/atom.

Cell: 5.951 20.872 3.434 Å, 90.00 90.00 90.00°
Space group Pnna (No. 52)
Asymmetric unit:
Ta (0.250, 0.000, 0.000) x4
Sb (0.010, 0.250, 0.250) x4
O (0.000, 0.055, 0.845) x8
O (0.240, 0.697, 0.000) x8

---

[18]
DFT (PBE-GGA) results for an optimized crystal structure of Pm5Ga2Bi.

Its crystal system is tetragonal. Its formation energy is -0.57 eV per atom. The value obtained for the mass density is 7.613 g cm⁻³. The density of states at the Fermi level is 7.3 states/eV/f.u.

Cell: 8.433 8.433 13.171 Å, 90.00 90.00 90.00°
Space group I4/mcm (No. 140)
Asymmetric unit:
Pm (0.000, 0.000, 0.000) x4
Pm (0.154, 0.346, 0.142) x16
Ga (0.147, 0.353, 0.500) x8
Bi (0.000, 0.000, 0.250) x4

---

[19]
DFT (PBE-GGA) results for an optimized crystal structure of K3EuF6.

Its crystal system is cubic. The value obtained for the mass density is 2.967 g cm⁻³. The density of states at the Fermi level is 15.9 states/eV/f.u. As for the uncorrected formation energy: -3.003 eV/atom.

Cell: 9.503 9.503 9.503 Å, 90.00 90.00 90.00°
Space group Fm-3m (No. 225)
Asymmetric unit:
K (0.000, 0.000, 0.000) x4
K (0.250, 0.250, 0.250) x8
Eu (0.000, 0.000, 0.500) x4
F (0.000, 0.000, 0.265) x24

---

[20]
DFT (PBE-GGA) results for an optimized crystal structure of ZnSbAs2Se.

Its crystal system is tetragonal. The value obtained for the mass density is 5.925 g cm⁻³. The density of states at the Fermi level is 5.3 states/eV/f.u. As for the uncorrected formation energy: 0.542 eV/atom.

Cell: 4.840 4.840 4.977 Å, 90.00 90.00 90.00°
Space group P4/mmm (No. 123)
Asymmetric unit:
Zn (0.000, 0.000, 0.000) x1
Sb (0.500, 0.500, 0.500) x1
As (0.000, 0.500, 0.000) x2
Se (0.000, 0.000, 0.500) x1